Entry 1:
# CeTiN | Alexandria via LeMat-Bulk | PBE-GGA | optimized geometry
data_CeTiN
_chemical_formula_sum 'Ce3 Ti3 N3'
_cell_length_a 6.8247
_cell_length_b 6.8247
_cell_length_c 3.3078
_cell_angle_alpha 90.00
_cell_angle_beta 90.00
_cell_angle_gamma 120.00
_space_group_name_H-M_alt 'P -6 2 m'
_space_group_IT_number 189
_space_group_name_Hall 'P -6 -2'
loop_
_atom_site_label
_atom_site_type_symbol
_atom_site_fract_x
_atom_site_fract_y
_atom_site_fract_z
Ce1 Ce 0.0000 0.5798 0.0000
Ti1 Ti 0.0000 0.2319 0.5000
N1 N 0.0000 0.0000 0.0000
N2 N 0.3333 0.6667 0.5000
# raw formation energy = -0.407 eV/atom

***

Entry 2:
# Zr6RhAu3 | Alexandria via LeMat-Bulk | PBE-GGA | optimized geometry
data_Zr6RhAu3
_chemical_formula_sum 'Zr12 Rh2 Au6'
_cell_length_a 5.315
_cell_length_b 8.645
_cell_length_c 10.674
_cell_angle_alpha 90.00
_cell_angle_beta 119.26
_cell_angle_gamma 90.00
_space_group_name_H-M_alt 'P 1 21/c 1'
_space_group_IT_number 14
_space_group_name_Hall '-P 2ybc'
loop_
_atom_site_label
_atom_site_type_symbol
_atom_site_fract_x
_atom_site_fract_y
_atom_site_fract_z
Zr1 Zr 0.016 0.187 0.446
Zr2 Zr 0.373 0.116 0.239
Zr3 Zr 0.381 0.675 0.459
Rh1 Rh 0.000 0.000 0.000
Au1 Au 0.106 0.095 0.751
Au2 Au 0.500 0.000 0.500
# energy of formation = -0.276 eV/atom

***

Entry 3:
# Pr2TlZn | Alexandria via LeMat-Bulk | PBE-GGA | optimized geometry
data_Pr2TlZn
_chemical_formula_sum 'Pr6 Tl3 Zn3'
_cell_length_a 3.8789
_cell_length_b 3.8789
_cell_length_c 28.2859
_cell_angle_alpha 90.00
_cell_angle_beta 90.00
_cell_angle_gamma 120.00
_space_group_name_H-M_alt 'R -3 m'
_space_group_IT_number 166
_space_group_name_Hall '-R 3 2"'
loop_
_atom_site_label
_atom_site_type_symbol
_atom_site_fract_x
_atom_site_fract_y
_atom_site_fract_z
Pr1 Pr 0.0000 0.0000 0.2441
Tl1 Tl 0.0000 0.0000 0.0000
Zn1 Zn 0.0000 0.0000 0.5000
# energy of formation = -0.169 eV/atom

***

Entry 4:
# HfV2FeS | Alexandria via LeMat-Bulk | PBE-GGA | optimized geometry
data_HfV2FeS
_chemical_formula_sum 'Hf1 V2 Fe1 S1'
_cell_length_a 4.206
_cell_length_b 4.206
_cell_length_c 4.980
_cell_angle_alpha 90.00
_cell_angle_beta 90.00
_cell_angle_gamma 90.00
_space_group_name_H-M_alt 'P 4/m m m'
_space_group_IT_number 123
_space_group_name_Hall '-P 4 2'
loop_
_atom_site_label
_atom_site_type_symbol
_atom_site_fract_x
_atom_site_fract_y
_atom_site_fract_z
Hf1 Hf 0.000 0.000 0.000
V1 V 0.000 0.500 0.500
Fe1 Fe 0.000 0.000 0.500
S1 S 0.500 0.500 0.000
# raw formation energy = 0.517 eV/atom

***

Entry 5:
# RbIn8Ga2Au | Alexandria via LeMat-Bulk | PBE-GGA | optimized geometry
data_RbIn8Ga2Au
_chemical_formula_sum 'Rb2 In16 Ga4 Au2'
_cell_length_a 9.613
_cell_length_b 7.067
_cell_length_c 10.457
_cell_angle_alpha 90.00
_cell_angle_beta 95.59
_cell_angle_gamma 90.00
_space_group_name_H-M_alt 'C 1 2/m 1'
_space_group_IT_number 12
_space_group_name_Hall '-C 2y'
loop_
_atom_site_label
_atom_site_type_symbol
_atom_site_fract_x
_atom_site_fract_y
_atom_site_fract_z
Rb1 Rb 0.000 0.000 0.000
In1 In 0.054 0.259 0.697
In2 In 0.134 0.500 0.930
In3 In 0.204 0.500 0.494
Ga1 Ga 0.195 0.500 0.206
Au1 Au 0.000 0.000 0.500
# energy of formation = 0.029 eV/atom

***

Entry 6:
# KInB2F8 | Alexandria via LeMat-Bulk | PBE-GGA | optimized geometry
data_KInB2F8
_chemical_formula_sum 'K1 In1 B2 F8'
_cell_length_a 5.3002
_cell_length_b 5.3002
_cell_length_c 8.5668
_cell_angle_alpha 90.00
_cell_angle_beta 90.00
_cell_angle_gamma 120.00
_space_group_name_H-M_alt 'P -3'
_space_group_IT_number 147
_space_group_name_Hall '-P 3'
loop_
_atom_site_label
_atom_site_type_symbol
_atom_site_fract_x
_atom_site_fract_y
_atom_site_fract_z
K1 K 0.0000 0.0000 0.0000
In1 In 0.0000 0.0000 0.5000
B1 B 0.3333 0.6667 0.2696
F1 F 0.1001 0.3986 0.2147
F2 F 0.3333 0.6667 0.4353
# raw formation energy = -2.777 eV/atom

***

Entry 7:
# Cs2TiI4 | Alexandria via LeMat-Bulk | PBE-GGA | optimized geometry
data_Cs2TiI4
_chemical_formula_sum 'Cs4 Ti2 I8'
_cell_length_a 8.822
_cell_length_b 8.822
_cell_length_c 10.051
_cell_angle_alpha 90.00
_cell_angle_beta 90.00
_cell_angle_gamma 90.00
_space_group_name_H-M_alt 'I -4 2 m'
_space_group_IT_number 121
_space_group_name_Hall 'I -4 2'
loop_
_atom_site_label
_atom_site_type_symbol
_atom_site_fract_x
_atom_site_fract_y
_atom_site_fract_z
Cs1 Cs 0.000 0.500 0.250
Ti1 Ti 0.000 0.000 0.000
I1 I 0.225 0.225 0.001
# raw formation energy = -1.058 eV/atom

***

Entry 8:
# TbCu2Pd8 | Alexandria via LeMat-Bulk | PBE-GGA | optimized geometry
data_TbCu2Pd8
_chemical_formula_sum 'Tb2 Cu4 Pd16'
_cell_length_a 7.331
_cell_length_b 11.631
_cell_length_c 4.717
_cell_angle_alpha 90.00
_cell_angle_beta 114.83
_cell_angle_gamma 90.00
_space_group_name_H-M_alt 'C 1 2/m 1'
_space_group_IT_number 12
_space_group_name_Hall '-C 2y'
loop_
_atom_site_label
_atom_site_type_symbol
_atom_site_fract_x
_atom_site_fract_y
_atom_site_fract_z
Tb1 Tb 0.000 0.000 0.000
Cu1 Cu 0.000 0.310 0.500
Pd1 Pd 0.000 0.236 0.000
Pd2 Pd 0.089 0.500 0.810
Pd3 Pd 0.206 0.120 0.618
# energy of formation = -0.180 eV/atom